Computed, not measured: a geometry-optimized AlPbAu2 structure at the PBE level of DFT.

```
4
Lattice="3.411 0.000 0.000 0.000 3.739 0.000 0.000 0.000 6.693" Properties=species:S:1:pos:R:3 pbc="T T T"
Al 0.000 0.000 0.000
Pb 1.706 1.870 4.422
Au 0.000 0.000 2.623
Au 1.706 1.870 0.913
```

Values from the calculation:
**SG**: No. 25
**Size of the total moment**: 0.000 μB per atom
**ΔH_f (0 K)**: -0.0632 eV per atom
**Energy above the most stable polymorph in this dataset**: 166 meV per atom
**DOS at the Fermi energy**: 0.301 states/eV per atom
**Total energy**: -14.3 eV per cell

---

Computed, not measured: a geometry-optimized AlPb3Au structure at the PBE level of DFT.

```
5
Lattice="5.563 0.000 0.000 0.000 5.563 0.000 0.000 0.000 5.563" Properties=species:S:1:pos:R:3 pbc="T T T"
Al 0.000 0.000 0.000
Pb 0.000 2.781 2.781
Pb 2.781 0.000 2.781
Pb 2.781 2.781 0.000
Au 2.781 2.781 2.781
```

Values from the calculation:
**SG**: No. 221
**Size of the total moment**: 0.000 μB per atom
**ΔH_f (0 K)**: 0.4912 eV per atom
**Energy above the most stable polymorph in this dataset**: 0 meV per atom
**DOS at the Fermi energy**: 0.245 states/eV per atom
**Total energy**: -15.7 eV per cell

---

Computed, not measured: a geometry-optimized AlPb2Au structure at the PBE level of DFT.

```
4
Lattice="3.491 -4.098 0.000 3.491 4.098 0.000 -0.372 0.000 3.453" Properties=species:S:1:pos:R:3 pbc="T T T"
Al 0.000 0.000 0.000
Pb 1.560 2.049 1.726
Pb 1.560 -2.049 1.726
Au 3.491 0.000 0.000
```

Values from the calculation:
**SG**: No. 12
**Size of the total moment**: 0.000 μB per atom
**ΔH_f (0 K)**: 0.1257 eV per atom
**DOS at the Fermi energy**: 0.313 states/eV per atom
**Total energy**: -13.9 eV per cell

---

Computed, not measured: a geometry-optimized Al2PbAu3 structure at the PBE level of DFT.

```
12
Lattice="5.442 -4.047 0.000 5.442 4.047 0.000 0.000 0.000 5.656" Properties=species:S:1:pos:R:3 pbc="T T T"
Al 2.253 0.000 0.000
Al 2.253 0.000 2.828
Al 8.631 0.000 0.000
Al 8.631 0.000 2.828
Pb 5.442 1.086 4.242
Pb 5.442 -1.086 1.414
Au 5.442 3.782 1.414
Au 3.538 1.688 1.414
Au 7.347 1.688 1.414
Au 3.538 -1.688 4.242
Au 7.347 -1.688 4.242
Au 5.442 -3.782 4.242
```

Values from the calculation:
**SG**: No. 63
**Size of the total moment**: 0.000 μB per atom
**ΔH_f (0 K)**: -0.2682 eV per atom
**DOS at the Fermi energy**: 0.358 states/eV per atom
**Total energy**: -45.3 eV per cell

---

Computed, not measured: a geometry-optimized AlPbAu2 structure at the PBE level of DFT.

```
4
Lattice="3.055 -3.631 0.000 3.055 3.631 0.000 -0.285 0.000 3.818" Properties=species:S:1:pos:R:3 pbc="T T T"
Al 0.000 0.000 0.000
Pb 3.055 0.000 0.000
Au 1.385 1.816 1.909
Au 1.385 -1.816 1.909
```

Values from the calculation:
**SG**: No. 12
**Size of the total moment**: 0.000 μB per atom
**ΔH_f (0 K)**: 0.0211 eV per atom
**Energy above the most stable polymorph in this dataset**: 250 meV per atom
**DOS at the Fermi energy**: 0.345 states/eV per atom
**Total energy**: -13.9 eV per cell

---

Computed, not measured: a geometry-optimized Al2Pb2Au structure at the PBE level of DFT.

```
10
Lattice="6.781 0.000 0.000 0.000 6.781 0.000 0.000 0.000 5.139" Properties=species:S:1:pos:R:3 pbc="T T T"
Al 0.944 2.447 0.000
Al 2.447 5.838 0.000
Al 4.334 0.944 0.000
Al 5.838 4.334 0.000
Pb 1.187 4.578 2.569
Pb 2.204 1.187 2.569
Pb 4.578 5.594 2.569
Pb 5.594 2.204 2.569
Au 0.000 0.000 0.000
Au 3.391 3.391 0.000
```

Values from the calculation:
**SG**: No. 127
**Size of the total moment**: 0.000 μB per atom
**ΔH_f (0 K)**: -0.0098 eV per atom
**Energy above the most stable polymorph in this dataset**: 0 meV per atom
**DOS at the Fermi energy**: 0.477 states/eV per atom
**Total energy**: -36.5 eV per cell

---

Computed, not measured: a geometry-optimized AlPbAu structure at the PBE level of DFT.

```
6
Lattice="4.253 0.000 0.000 -2.126 3.683 0.000 0.000 0.000 11.353" Properties=species:S:1:pos:R:3 pbc="T T T"
Al 0.000 0.000 2.838
Al 0.000 0.000 8.515
Pb 0.000 0.000 0.000
Pb 0.000 0.000 5.677
Au 0.000 2.455 2.838
Au 2.126 1.228 8.515
```

Values from the calculation:
**SG**: No. 194
**Size of the total moment**: 0.000 μB per atom
**ΔH_f (0 K)**: 0.2256 eV per atom
**DOS at the Fermi energy**: 0.535 states/eV per atom
**Total energy**: -20.1 eV per cell

---

Computed, not measured: a geometry-optimized AlPb2Au structure at the PBE level of DFT.

```
4
Lattice="4.493 0.000 0.000 0.000 4.060 0.000 -2.137 0.000 5.536" Properties=species:S:1:pos:R:3 pbc="T T T"
Al 0.000 0.000 0.000
Pb 0.026 0.000 3.057
Pb 2.241 2.030 0.881
Au 2.269 2.030 3.961
```

Values from the calculation:
**SG**: No. 6
**Size of the total moment**: 0.000 μB per atom
**ΔH_f (0 K)**: -0.0348 eV per atom
**DOS at the Fermi energy**: 0.338 states/eV per atom
**Total energy**: -14.6 eV per cell

---

Computed, not measured: a geometry-optimized AlPbAu structure at the PBE level of DFT.

```
6
Lattice="4.626 0.000 0.000 0.000 4.627 0.000 -0.009 0.000 6.685" Properties=species:S:1:pos:R:3 pbc="T T T"
Al 1.157 1.157 0.001
Al 3.460 3.470 6.684
Pb 1.151 1.157 3.343
Pb 3.466 3.470 3.342
Au 1.155 3.470 1.224
Au 3.462 1.157 5.461
```

Values from the calculation:
**SG**: No. 11
**Size of the total moment**: 0.000 μB per atom
**ΔH_f (0 K)**: -0.1771 eV per atom
**DOS at the Fermi energy**: 0.477 states/eV per atom
**Total energy**: -22.5 eV per cell

---

Computed, not measured: a geometry-optimized AlPbAu2 structure at the PBE level of DFT.

```
4
Lattice="1.762 1.018 8.124 -1.762 1.018 8.124 0.000 -2.035 8.124" Properties=species:S:1:pos:R:3 pbc="T T T"
Al 0.000 0.000 0.000
Pb 0.000 0.000 20.273
Au 0.000 0.000 9.770
Au 0.000 0.000 14.597
```

Values from the calculation:
**SG**: No. 160
**Size of the total moment**: 0.000 μB per atom
**ΔH_f (0 K)**: -0.1575 eV per atom
**Energy above the most stable polymorph in this dataset**: 71 meV per atom
**DOS at the Fermi energy**: 0.371 states/eV per atom
**Total energy**: -14.6 eV per cell

---

Computed, not measured: a geometry-optimized AlPbAu2 structure at the PBE level of DFT.

```
4
Lattice="4.764 0.000 0.000 0.000 4.764 0.000 0.000 0.000 3.723" Properties=species:S:1:pos:R:3 pbc="T T T"
Al 0.000 0.000 0.000
Pb 2.382 2.382 0.000
Au 0.000 2.382 1.861
Au 2.382 0.000 1.861
```

Values from the calculation:
**SG**: No. 123
**Size of the total moment**: 0.000 μB per atom
**ΔH_f (0 K)**: 0.0146 eV per atom
**Energy above the most stable polymorph in this dataset**: 243 meV per atom
**DOS at the Fermi energy**: 0.266 states/eV per atom
**Total energy**: -13.9 eV per cell

---

Computed, not measured: a geometry-optimized AlPbAu2 structure at the PBE level of DFT.

```
8
Lattice="-3.743 3.743 3.252 3.743 -3.743 3.252 3.743 3.743 -3.252" Properties=species:S:1:pos:R:3 pbc="T T T"
Al 0.000 0.000 0.000
Al 0.000 3.743 1.626
Pb 3.743 0.000 1.626
Pb 0.000 0.000 3.252
Au 5.614 1.496 -0.813
Au 1.496 1.871 0.813
Au -1.871 2.246 2.439
Au 2.246 1.871 4.065
```

Values from the calculation:
**SG**: No. 122
**Size of the total moment**: 0.000 μB per atom
**ΔH_f (0 K)**: -0.0686 eV per atom
**Energy above the most stable polymorph in this dataset**: 160 meV per atom
**DOS at the Fermi energy**: 0.361 states/eV per atom
**Total energy**: -28.6 eV per cell